Entry 1:
CrCu2Si2 | Alexandria | PBE | optimized geometry; total magnetic moment = 3.41 μB per cell; ΔE_f (raw) = 162 meV per atom
1.0
6.590 0.000 0.000
0.000 6.590 0.000
0.000 0.000 2.995
Cr Cu Si
2 4 4
Direct
0.000 0.000 0.000
0.500 0.500 0.000
0.139 0.361 0.500
0.361 0.861 0.500
0.639 0.139 0.500
0.861 0.639 0.500
0.159 0.659 0.000
0.341 0.159 0.000
0.659 0.841 0.000
0.841 0.341 0.000

Entry 2:
CrCu3Si | Alexandria | PBE | optimized geometry; total magnetic moment = 4.06 μB per cell; ΔE_f (raw) = 1380 meV per atom; ΔE to the lowest computed polymorph = 390 meV per atom
1.0
4.537 0.000 0.000
0.000 4.537 0.000
0.000 0.000 4.537
Cr Cu Si
1 3 1
Direct
0.000 0.000 0.000
0.000 0.000 0.500
0.000 0.500 0.000
0.500 0.000 0.000
0.500 0.500 0.500